1.
# PBE-GGA BiPbF6, relaxed
data_BiPbF6
_chemical_formula_sum 'Bi2 Pb2 F12'
_cell_length_a 3.657
_cell_length_b 7.092
_cell_length_c 9.939
_cell_angle_alpha 90.00
_cell_angle_beta 90.00
_cell_angle_gamma 90.00
_space_group_name_H-M_alt 'A m m 2'
_space_group_IT_number 38
loop_
_space_group_symop_operation_xyz
'x,y,z'
'-x,-y,z'
'-x,y,z'
'x,-y,z'
'x,y+1/2,z+1/2'
'-x,-y+1/2,z+1/2'
'-x,y+1/2,z+1/2'
'x,-y+1/2,z+1/2'
loop_
_atom_site_label
_atom_site_type_symbol
_atom_site_fract_x
_atom_site_fract_y
_atom_site_fract_z
_atom_site_occupancy
Bi1 Bi 0.000 0.000 0.000 1
Pb1 Pb 0.500 0.000 0.526 1
F1 F 0.000 0.000 0.659 1
F2 F 0.000 0.184 0.419 1
F3 F 0.500 0.000 0.864 1
F4 F 0.500 0.187 0.106 1
# Mass density   6.83 Mg/m³
# Energy relative to the elements, uncorrected   -2.17 eV/atom

2.
# PBE-GGA InCuN3, relaxed
data_InCuN3
_chemical_formula_sum 'In1 Cu1 N3'
_cell_length_a 3.802
_cell_length_b 3.802
_cell_length_c 3.802
_cell_angle_alpha 90.00
_cell_angle_beta 90.00
_cell_angle_gamma 90.00
_space_group_name_H-M_alt 'P m -3 m'
_space_group_IT_number 221
_space_group_name_Hall '-P 4 2 3'
loop_
_atom_site_label
_atom_site_type_symbol
_atom_site_fract_x
_atom_site_fract_y
_atom_site_fract_z
_atom_site_occupancy
In1 In 0.000 0.000 0.000 1
Cu1 Cu 0.500 0.500 0.500 1
N1 N 0.000 0.500 0.500 1
# Mass density   6.66 Mg/m³
# Energy relative to the elements, uncorrected   1.73 eV/atom

3.
# PBE-GGA Tl2TcRh, relaxed
data_Tl2TcRh
_chemical_formula_sum 'Tl2 Tc1 Rh1'
_cell_length_a 2.967
_cell_length_b 3.057
_cell_length_c 8.935
_cell_angle_alpha 90.00
_cell_angle_beta 99.52
_cell_angle_gamma 90.00
_space_group_name_H-M_alt 'P 1 m 1'
_space_group_IT_number 6
loop_
_space_group_symop_operation_xyz
'x,y,z'
'x,-y,z'
loop_
_atom_site_label
_atom_site_type_symbol
_atom_site_fract_x
_atom_site_fract_y
_atom_site_fract_z
_atom_site_occupancy
Tl1 Tl 0.000 0.000 0.000 1
Tl2 Tl 0.170 0.500 0.335 1
Tc1 Tc 0.792 0.000 0.580 1
Rh1 Rh 0.380 0.500 0.756 1
# Mass density   12.67 Mg/m³
# Calculated formation energy   0.314 eV/atom

4.
# PBE-GGA TcHgPt4, relaxed
data_TcHgPt4
_chemical_formula_sum 'Tc4 Hg4 Pt16'
_cell_length_a 7.501
_cell_length_b 7.501
_cell_length_c 7.501
_cell_angle_alpha 90.00
_cell_angle_beta 90.00
_cell_angle_gamma 90.00
_space_group_name_H-M_alt 'F -4 3 m'
_space_group_IT_number 216
_space_group_name_Hall 'F -4 2 3'
loop_
_atom_site_label
_atom_site_type_symbol
_atom_site_fract_x
_atom_site_fract_y
_atom_site_fract_z
_atom_site_occupancy
Tc1 Tc 0.000 0.000 0.000 1
Hg1 Hg 0.250 0.250 0.250 1
Pt1 Pt 0.125 0.125 0.625 1
# Mass density   16.98 Mg/m³
# Calculated formation energy   0.275 eV/atom

Results for raw total energy: -4.520 -4.633 -5.299 -5.530 (in eV per atom, following the order of the records).